VASP calculation (PBE) on crystalline Sb4S3N2 at its relaxed geometry.

a = 7.612 Å, b = 7.612 Å, c = 9.192 Å
α = 120.37°, β = 120.37°, γ = 28.15°
Sites, in units of the cell vectors:
Sb  0.139  0.139  0.365
Sb  0.340  0.340  0.267
Sb  0.660  0.660  0.733
Sb  0.861  0.861  0.635
S  0.000  0.000  0.500
S  0.305  0.305  0.860
S  0.695  0.695  0.140
N  0.310  0.310  0.473
N  0.690  0.690  0.527

Summary:
- SG: C2/m (12)
- Magnetic moment: 0.00 μB/f.u.
- Uncorrected energy: -5.063 eV/atom

VASP calculation (PBE) on crystalline DyBeSiPt3 at its relaxed geometry.

a = 6.615 Å, b = 6.615 Å, c = 5.516 Å
α = 90.00°, β = 90.00°, γ = 122.01°
Sites, in units of the cell vectors:
Dy  0.220  0.780  0.750
Dy  0.780  0.220  0.250
Be  0.477  0.523  0.750
Be  0.523  0.477  0.250
Si  0.125  0.875  0.250
Si  0.875  0.125  0.750
Pt  0.222  0.222  0.000
Pt  0.222  0.222  0.500
Pt  0.323  0.677  0.250
Pt  0.677  0.323  0.750
Pt  0.778  0.778  0.000
Pt  0.778  0.778  0.500

Summary:
- SG: Cmcm (63)
- Magnetic moment: 0.00 μB/f.u.
- Uncorrected energy: -6.172 eV/atom